No. 1
Here is a geometry-optimized Si2TcIr structure from Alexandria via LeMat-Bulk. Energies are from PBEsol.

The space group is Immm (No. 71) and the conventional cell measures 2.849, 4.929 and 7.845 Å, with angles of 90.00, 90.00 and 90.00 degrees. The inequivalent atoms are Si at (0.000, 0.000, 0.250), Tc at (0.000, 0.500, 0.000) and Ir at (0.000, 0.500, 0.500).

As for the total magnetization: 0.00 μB/cell. For the volume, the calculation gives 13.8 A^3/atom. The energy above the lowest structure with this stoichiometry comes out at 451 meV/atom. Its density of states at the Fermi level is 0.6265 states/eV/atom. The total energy is -66.67 eV for the cell shown. The formation energy (no corrections) is -0.19 eV per atom.

=====

No. 2
Here is a geometry-optimized Si2TcIr structure from Alexandria via LeMat-Bulk. Energies are from PBEsol.

The space group is Cm (No. 8) and the conventional cell measures 8.797, 2.893 and 4.280 Å, with angles of 90.00, 106.93 and 90.00 degrees. The inequivalent atoms are Si at (0.000, 0.000, 0.000), Si at (0.248, 0.500, 0.365), Tc at (0.257, 0.000, 0.890) and Ir at (0.495, 0.000, 0.489).

As for the total magnetization: 0.00 μB/cell. For the volume, the calculation gives 13.0 A^3/atom. The energy above the lowest structure with this stoichiometry comes out at 63 meV/atom. Its density of states at the Fermi level is 0.5352 states/eV/atom. The total energy is -69.77 eV for the cell shown. The formation energy (no corrections) is -0.58 eV per atom.

=====

No. 3
Here is a geometry-optimized SiTe3Ir structure from Alexandria via LeMat-Bulk. Energies are from PBEsol.

The space group is Pm-3m (No. 221) and the conventional cell measures 4.986, 4.986 and 4.986 Å, with angles of 90.00, 90.00 and 90.00 degrees. The inequivalent atoms are Si at (0.000, 0.000, 0.000), Te at (0.000, 0.000, 0.500) and Ir at (0.500, 0.500, 0.500).

As for the total magnetization: 0.01 μB/cell. For the volume, the calculation gives 24.8 A^3/atom. Its density of states at the Fermi level is 1.2085 states/eV/atom. The total energy is -19.81 eV for the cell shown. The formation energy (no corrections) is 1.27 eV per atom.

=====

No. 4
Here is a geometry-optimized Th2Si3Ir structure from Alexandria via LeMat-Bulk. Energies are from PBEsol.

The space group is Imm2 (No. 44) and the conventional cell measures 4.080, 4.187 and 14.151 Å, with angles of 90.00, 90.00 and 90.00 degrees. The inequivalent atoms are Th at (0.000, 0.000, 0.000), Th at (0.000, 0.500, 0.251), Si at (0.000, 0.000, 0.421), Si at (0.000, 0.500, 0.668), Si at (0.000, 0.500, 0.835) and Ir at (0.000, 0.000, 0.587).

As for the total magnetization: 0.00 μB/cell. For the volume, the calculation gives 20.1 A^3/atom. Its density of states at the Fermi level is 0.4743 states/eV/atom. The total energy is -98.05 eV for the cell shown. The formation energy (no corrections) is -0.96 eV per atom.

=====

No. 5
Here is a geometry-optimized ThSi2Ir2 structure from Alexandria via LeMat-Bulk. Energies are from PBEsol.

The space group is P4/nmm (No. 129, origin choice 2) and the conventional cell measures 4.149, 4.149 and 9.893 Å, with angles of 90.00, 90.00 and 90.00 degrees. The inequivalent atoms are Th at (0.250, 0.250, 0.246), Si at (0.250, 0.250, 0.631), Si at (0.250, 0.750, 0.000), Ir at (0.250, 0.250, 0.873) and Ir at (0.250, 0.750, 0.500).

As for the total magnetization: 0.00 μB/cell. For the volume, the calculation gives 17.0 A^3/atom. Its density of states at the Fermi level is 0.5750 states/eV/atom. The total energy is -89.80 eV for the cell shown. The formation energy (no corrections) is -1.13 eV per atom.

=====

No. 6
Here is a geometry-optimized ThSi2Ir2 structure from Alexandria via LeMat-Bulk. Energies are from PBEsol.

The space group is I4/mmm (No. 139) and the conventional cell measures 4.082, 4.082 and 10.106 Å, with angles of 90.00, 90.00 and 90.00 degrees. The inequivalent atoms are Th at (0.000, 0.000, 0.000), Si at (0.000, 0.000, 0.379) and Ir at (0.000, 0.500, 0.250).

As for the total magnetization: 0.00 μB/cell. For the volume, the calculation gives 16.8 A^3/atom. Its density of states at the Fermi level is 0.3791 states/eV/atom. The total energy is -89.51 eV for the cell shown. The formation energy (no corrections) is -1.10 eV per atom.

=====

No. 7
Here is a geometry-optimized TiSiIr structure from Alexandria via LeMat-Bulk. Energies are from PBEsol.

The space group is Pnma (No. 62) and the conventional cell measures 6.203, 3.843 and 7.180 Å, with angles of 90.00, 90.00 and 90.00 degrees. The inequivalent atoms are Ti at (0.023, 0.250, 0.180), Si at (0.229, 0.750, 0.376) and Ir at (0.156, 0.250, 0.561).

As for the total magnetization: 0.00 μB/cell. For the volume, the calculation gives 14.3 A^3/atom. Its density of states at the Fermi level is 0.7529 states/eV/atom. The total energy is -108.06 eV for the cell shown. The formation energy (no corrections) is -1.04 eV per atom.

=====

No. 8
Here is a geometry-optimized Ti2Si2Ir structure from Alexandria via LeMat-Bulk. Energies are from PBEsol.

The space group is P4/mbm (No. 127) and the conventional cell measures 6.093, 6.093 and 3.868 Å, with angles of 90.00, 90.00 and 90.00 degrees. The inequivalent atoms are Ti at (0.164, 0.336, 0.000), Si at (0.137, 0.637, 0.500) and Ir at (0.000, 0.000, 0.500).

As for the total magnetization: 0.00 μB/cell. For the volume, the calculation gives 14.4 A^3/atom. Its density of states at the Fermi level is 0.5667 states/eV/atom. The total energy is -85.49 eV for the cell shown. The formation energy (no corrections) is -0.96 eV per atom.